[1]
Density functional theory data (PBE-GGA) for crystalline FePbCl6 at its relaxed geometry.

```
data_FePbCl6
_cell_length_a 6.593
_cell_length_b 11.577
_cell_length_c 6.495
_cell_angle_alpha 90.00
_cell_angle_beta 105.06
_cell_angle_gamma 90.00
_space_group_name_H-M_alt 'C 1 2/m 1'
_space_group_IT_number 12
_space_group_name_Hall '-C 2y'
loop_
_atom_site_label
_atom_site_fract_x
_atom_site_fract_y
_atom_site_fract_z
Fe1 0.000 0.000 0.000
Pb1 0.000 0.500 0.500
Cl1 0.192 0.140 0.202
Cl2 0.239 0.000 0.771
```

Results
Size of the total moment: 0.401 μB/atom
E_form (uncorrected): -5.73 eV/f.u.
Crystal system: monoclinic

***

[2]
Density functional theory data (PBE-GGA) for crystalline FePbCl2 at its relaxed geometry.

```
data_FePbCl2
_cell_length_a 3.174
_cell_length_b 3.174
_cell_length_c 8.986
_cell_angle_alpha 90.00
_cell_angle_beta 90.00
_cell_angle_gamma 90.00
_space_group_name_H-M_alt 'P 4/m m m'
_space_group_IT_number 123
_space_group_name_Hall '-P 4 2'
loop_
_atom_site_label
_atom_site_fract_x
_atom_site_fract_y
_atom_site_fract_z
Fe1 0.000 0.000 0.000
Pb1 0.000 0.000 0.500
Cl1 0.500 0.500 0.169
```

Results
Size of the total moment: 0.885 μB/atom
E_form (uncorrected): -0.69 eV/f.u.
Energy relative to the lowest polymorph listed for this composition: 103 kJ/mol of formula units
Crystal system: tetragonal

***

[3]
Density functional theory data (PBE-GGA) for crystalline FePbCl2 at its relaxed geometry.

```
data_FePbCl2
_cell_length_a 3.378
_cell_length_b 4.595
_cell_length_c 5.968
_cell_angle_alpha 90.00
_cell_angle_beta 90.00
_cell_angle_gamma 90.00
_space_group_name_H-M_alt 'P m m m'
_space_group_IT_number 47
_space_group_name_Hall '-P 2 2'
loop_
_atom_site_label
_atom_site_fract_x
_atom_site_fract_y
_atom_site_fract_z
Fe1 0.000 0.000 0.000
Pb1 0.500 0.000 0.500
Cl1 0.000 0.500 0.500
Cl2 0.500 0.500 0.000
```

Results
Size of the total moment: 0.850 μB/atom
E_form (uncorrected): 0.14 eV/f.u.
Energy relative to the lowest polymorph listed for this composition: 182 kJ/mol of formula units
Crystal system: orthorhombic